[1]
The following is a GGA-PBE calculation of crystalline KAg2F8 at its relaxed geometry, from Alexandria.

```
data_KAg2F8
_space_group_name_H-M_alt 'P 1'
_space_group_IT_number 1
_cell_length_a 5.239
_cell_length_b 5.239
_cell_length_c 6.504
_cell_angle_alpha 90.00
_cell_angle_beta 90.00
_cell_angle_gamma 90.00
loop_
_space_group_symop_operation_xyz
'x,y,z'
loop_
_atom_site_label
_atom_site_type_symbol
_atom_site_fract_x
_atom_site_fract_y
_atom_site_fract_z
F1 F 0.249 0.249 0.193
F2 F 0.249 0.249 0.807
F3 F 0.751 0.751 0.807
F4 F 0.751 0.249 0.193
F5 F 0.249 0.751 0.807
F6 F 0.751 0.249 0.807
F7 F 0.249 0.751 0.193
F8 F 0.751 0.751 0.193
Ag1 Ag 0.000 0.500 0.000
Ag2 Ag 0.500 0.000 0.000
K1 K 0.500 0.500 0.500
```

Values from the calculation:
- formation energy without anion corrections (eV per atom) = -1.09
- V (Å³ per atom) = 16.23
- Fermi-level density of states (states/eV per atom) = 0.532



[2]
The following is a GGA-PBE calculation of crystalline K12Ag3F5 at its relaxed geometry, from Alexandria.

```
data_K12Ag3F5
_space_group_name_H-M_alt 'P 1'
_space_group_IT_number 1
_cell_length_a 15.472
_cell_length_b 15.472
_cell_length_c 15.472
_cell_angle_alpha 109.47
_cell_angle_beta 109.47
_cell_angle_gamma 109.47
loop_
_space_group_symop_operation_xyz
'x,y,z'
loop_
_atom_site_label
_atom_site_type_symbol
_atom_site_fract_x
_atom_site_fract_y
_atom_site_fract_z
K1 K 0.183 0.080 0.695
K2 K 0.580 0.695 0.683
K3 K 0.920 0.817 0.805
K4 K 0.103 0.183 0.488
K5 K 0.420 0.115 0.603
K6 K 0.080 0.897 0.385
K7 K 0.805 0.317 0.920
K8 K 0.305 0.885 0.988
K9 K 0.885 0.305 0.488
K10 K 0.615 0.603 0.920
K11 K 0.988 0.385 0.305
K12 K 0.420 0.305 0.317
K13 K 0.683 0.195 0.580
K14 K 0.615 0.012 0.195
K15 K 0.603 0.988 0.683
K16 K 0.512 0.317 0.897
K17 K 0.488 0.805 0.885
K18 K 0.488 0.683 0.103
K19 K 0.385 0.988 0.805
K20 K 0.385 0.397 0.080
K21 K 0.988 0.603 0.183
K22 K 0.603 0.615 0.420
K23 K 0.305 0.420 0.817
K24 K 0.683 0.488 0.603
K25 K 0.580 0.885 0.397
K26 K 0.115 0.420 0.103
K27 K 0.397 0.012 0.317
K28 K 0.115 0.695 0.512
K29 K 0.397 0.385 0.580
K30 K 0.012 0.397 0.817
K31 K 0.183 0.103 0.988
K32 K 0.195 0.512 0.615
K33 K 0.695 0.115 0.012
K34 K 0.080 0.183 0.195
K35 K 0.897 0.080 0.885
K36 K 0.920 0.103 0.615
K37 K 0.805 0.488 0.385
K38 K 0.195 0.683 0.080
K39 K 0.817 0.897 0.012
K40 K 0.512 0.195 0.115
K41 K 0.317 0.512 0.397
K42 K 0.897 0.817 0.512
K43 K 0.103 0.920 0.115
K44 K 0.817 0.920 0.305
K45 K 0.885 0.580 0.897
K46 K 0.695 0.580 0.183
K47 K 0.317 0.805 0.420
K48 K 0.012 0.615 0.695
F1 F 0.375 0.250 0.125
F2 F 0.250 0.875 0.125
F3 F 0.500 0.500 0.000
F4 F 0.875 0.250 0.625
F5 F 0.625 0.750 0.875
F6 F 0.125 0.750 0.375
F7 F 0.500 0.500 0.500
F8 F 0.000 0.500 0.000
F9 F 0.000 0.500 0.500
F10 F 0.375 0.125 0.750
F11 F 0.000 0.000 0.000
F12 F 0.750 0.625 0.375
F13 F 0.750 0.125 0.875
F14 F 0.500 0.000 0.500
F15 F 0.500 0.000 0.000
F16 F 0.125 0.375 0.250
F17 F 0.625 0.875 0.250
F18 F 0.875 0.625 0.750
F19 F 0.250 0.375 0.625
F20 F 0.000 0.000 0.500
Ag1 Ag 0.250 0.125 0.375
Ag2 Ag 0.625 0.375 0.750
Ag3 Ag 0.625 0.250 0.375
Ag4 Ag 0.750 0.875 0.625
Ag5 Ag 0.250 0.625 0.875
Ag6 Ag 0.875 0.750 0.125
Ag7 Ag 0.375 0.750 0.625
Ag8 Ag 0.750 0.375 0.125
Ag9 Ag 0.125 0.250 0.875
Ag10 Ag 0.125 0.875 0.750
Ag11 Ag 0.875 0.125 0.250
Ag12 Ag 0.375 0.625 0.250
```

Values from the calculation:
- formation energy without anion corrections (eV per atom) = -1.25
- V (Å³ per atom) = 35.64
- Fermi-level density of states (states/eV per atom) = 0.447



[3]
The following is a GGA-PBE calculation of crystalline KAg3F6 at its relaxed geometry, from Alexandria.

```
data_KAg3F6
_space_group_name_H-M_alt 'P 1'
_space_group_IT_number 1
_cell_length_a 3.742
_cell_length_b 7.080
_cell_length_c 7.080
_cell_angle_alpha 111.28
_cell_angle_beta 90.00
_cell_angle_gamma 90.00
loop_
_space_group_symop_operation_xyz
'x,y,z'
loop_
_atom_site_label
_atom_site_type_symbol
_atom_site_fract_x
_atom_site_fract_y
_atom_site_fract_z
F1 F 0.000 0.934 0.684
F2 F 0.000 0.066 0.316
F3 F 0.500 0.326 0.674
F4 F 0.500 0.674 0.326
F5 F 0.000 0.316 0.066
F6 F 0.000 0.684 0.934
Ag1 Ag 0.500 0.000 0.500
Ag2 Ag 0.000 0.000 0.000
Ag3 Ag 0.500 0.500 0.000
K1 K 0.000 0.500 0.500
```

Values from the calculation:
- formation energy without anion corrections (eV per atom) = -1.48
- V (Å³ per atom) = 17.48
- Fermi-level density of states (states/eV per atom) = 0.354